1.
PBE with a Hubbard U Ho2MoO6, optimized geometry; D(E_F) = 0.00 states/eV per cell
1.0
9.9124 0.0000 0.0000
3.7018 9.1952 0.0000
1.3898 0.9387 5.1097
Ho O Mo
8 24 4
direct
0.1366 0.8634 0.7500 Ho
0.2166 0.4477 0.8778 Ho
0.7834 0.5523 0.1222 Ho
0.6061 0.3939 0.7500 Ho
0.4477 0.2166 0.3778 Ho
0.5523 0.7834 0.6222 Ho
0.3939 0.6061 0.2500 Ho
0.8634 0.1366 0.2500 Ho
0.6621 0.1930 0.0819 O
0.3257 0.8839 0.3747 O
0.2891 0.1842 0.1371 O
0.9751 0.5671 0.7455 O
0.8158 0.7109 0.3629 O
0.5730 0.6095 0.4222 O
0.0480 0.1101 0.5146 O
0.7109 0.8158 0.8629 O
0.3905 0.4270 0.0778 O
0.5671 0.9751 0.2455 O
0.4270 0.3905 0.5778 O
0.3379 0.8070 0.9181 O
0.9520 0.8899 0.4854 O
0.1101 0.0480 0.0146 O
0.6095 0.5730 0.9222 O
0.1930 0.6621 0.5819 O
0.4329 0.0249 0.7545 O
0.6743 0.1161 0.6253 O
0.0249 0.4329 0.2545 O
0.1842 0.2891 0.6371 O
0.8070 0.3379 0.4181 O
0.8839 0.3257 0.8747 O
0.1161 0.6743 0.1253 O
0.8899 0.9520 0.9854 O
0.7036 0.9885 0.9386 Mo
0.9885 0.7036 0.4386 Mo
0.2964 0.0115 0.0614 Mo
0.0115 0.2964 0.5614 Mo

2.
PBE with a Hubbard U Ho2MoO6, optimized geometry; D(E_F) = 0.00 states/eV per cell
1.0
-2.3932 0.9028 -4.8053
3.0470 -4.1610 -2.2992
-5.5103 -5.4905 2.6341
Ho Mo O
4 2 12
direct
0.4599 0.0744 0.2718 Ho
0.9599 0.4256 0.7718 Ho
0.5401 0.9256 0.7282 Ho
0.0401 0.5744 0.2282 Ho
0.0000 0.0000 0.5000 Mo
0.5000 0.5000 0.0000 Mo
0.2865 0.8186 0.4524 O
0.8535 0.7356 0.6135 O
0.7865 0.6814 0.9524 O
0.6465 0.2356 0.8865 O
0.3535 0.7644 0.1135 O
0.2135 0.3186 0.0476 O
0.1465 0.2644 0.3865 O
0.3286 0.6068 0.7966 O
0.7135 0.1814 0.5476 O
0.1714 0.1068 0.7034 O
0.6714 0.3932 0.2034 O
0.8286 0.8932 0.2966 O

3.
PBE with a Hubbard U HoPaMoO6, optimized geometry; D(E_F) = 0.00 states/eV per cell
1.0
-3.0910 1.5491 -3.6265
2.2249 -3.1193 -3.2288
-6.6486 -7.3556 2.5249
O Ho Mo Pa
12 2 2 2
direct
0.6944 0.6944 0.6564 O
0.7918 0.2082 0.5046 O
0.6854 0.6854 0.3398 O
0.1854 0.8146 0.8398 O
0.1944 0.8056 0.1564 O
0.3056 0.3056 0.6564 O
0.2918 0.2918 0.0046 O
0.8146 0.1854 0.8398 O
0.3146 0.3146 0.3398 O
0.7082 0.7082 0.0046 O
0.2082 0.7918 0.5046 O
0.8056 0.1944 0.1564 O
0.5000 0.5000 0.8309 Ho
0.0000 0.0000 0.3309 Ho
0.0000 0.0000 0.0000 Mo
0.5000 0.5000 0.5000 Mo
0.5000 0.5000 0.1676 Pa
0.0000 0.0000 0.6676 Pa

4.
PBE with a Hubbard U HoMoPbO6, optimized geometry; D(E_F) = 3.18 states/eV per cell
1.0
-1.3664 5.3672 -0.6271
-1.8778 2.9253 4.3571
4.5574 1.2887 1.0988
O Mo Pb Ho
6 1 1 1
direct
0.6207 0.0373 0.2767 O
0.0373 0.6207 0.7233 O
0.6207 0.3420 0.7233 O
0.3420 0.6207 0.2767 O
0.3420 0.0373 0.7233 O
0.0373 0.3420 0.2767 O
0.3333 0.3333 0.5000 Mo
0.0000 0.0000 0.0000 Pb
0.6666 0.6667 0.5000 Ho

5.
Density functional theory data (PBE with a Hubbard U) for an optimized crystal structure of HoMoPb2O6.

Structure (POSCAR):
```
HoMoPb2O6
1.0
-2.7546 5.0622 0.2388
-1.3324 -0.9965 5.7563
7.1868 3.9062 2.3398
O Pb Ho Mo
12 4 2 2
direct
0.1853 0.2331 0.0291 O
0.8147 0.7669 0.9709 O
0.6853 0.2669 0.5291 O
0.0637 0.4754 0.7608 O
0.9363 0.5246 0.2392 O
0.3147 0.7331 0.4709 O
0.7019 0.3164 0.9812 O
0.2019 0.1836 0.4812 O
0.2981 0.6836 0.0188 O
0.4363 0.9754 0.7392 O
0.7981 0.8164 0.5188 O
0.5637 0.0246 0.2608 O
0.9891 0.9585 0.2670 Pb
0.0109 0.0415 0.7330 Pb
0.4891 0.5415 0.7670 Pb
0.5109 0.4585 0.2330 Pb
0.0000 0.5000 0.5000 Ho
0.5000 0.0000 0.0000 Ho
0.5000 0.0000 0.5000 Mo
0.0000 0.5000 0.0000 Mo
```

6.
Density functional theory data (PBE with a Hubbard U) for an optimized crystal structure of Ho2MoPbO8.

Structure (POSCAR):
```
Ho2MoPbO8
1.0
-3.2471 -1.7804 -3.3265
-1.3335 -3.3672 3.4138
-4.7618 4.2773 2.3589
Ho O Mo Pb
2 8 1 1
direct
0.5000 0.5000 0.7576 Ho
0.5000 0.5000 0.2424 Ho
0.8166 0.1838 0.7855 O
0.8166 0.1838 0.2145 O
0.7008 0.7013 0.5000 O
0.1834 0.8162 0.7855 O
0.2820 0.2816 0.0000 O
0.7180 0.7184 0.0000 O
0.1834 0.8162 0.2145 O
0.2992 0.2987 0.5000 O
0.0000 0.0000 0.0000 Mo
0.0000 0.0000 0.5000 Pb
```

7.
PBE with a Hubbard U Pm2HoMoO8, optimized geometry; D(E_F) = 7.04 states/eV per cell
1.0
5.1680 -0.0532 -0.0030
-0.0290 5.1671 -0.0058
0.0041 0.0076 6.8860
O Pm Ho Mo
8 2 1 1
direct
0.3012 0.3008 0.5000 O
0.2671 0.2666 0.0000 O
0.8225 0.1780 0.7878 O
0.8225 0.1780 0.2122 O
0.7329 0.7334 0.0000 O
0.6988 0.6992 0.5000 O
0.1775 0.8220 0.7878 O
0.1775 0.8220 0.2122 O
0.5000 0.5000 0.7499 Pm
0.5000 0.5000 0.2501 Pm
0.0000 0.0000 0.5000 Ho
0.0000 0.0000 0.0000 Mo

8.
PBE with a Hubbard U PmHo2MoO8, optimized geometry; D(E_F) = 5.52 states/eV per cell
1.0
-4.3635 -1.0139 -2.3185
-1.6770 -2.2170 4.2095
-2.5516 6.0364 2.1626
O Ho Mo Pm
8 2 1 1
direct
0.8152 0.1851 0.2069 O
0.8151 0.1851 0.7931 O
0.2764 0.2762 0.0000 O
0.1848 0.8149 0.7931 O
0.7236 0.7238 0.0000 O
0.6837 0.6842 0.5000 O
0.3163 0.3158 0.5000 O
0.1849 0.8149 0.2069 O
0.5000 0.5000 0.7561 Ho
0.5000 0.5000 0.2439 Ho
0.0000 0.0000 0.0000 Mo
0.0000 0.0000 0.5000 Pm

9.
PBE with a Hubbard U PmHoMoO6, optimized geometry; D(E_F) = 0.00 states/eV per cell
1.0
-0.6970 -1.8706 4.5121
1.1789 -5.0445 -1.9092
4.0325 3.2223 1.9588
O Pm Mo Ho
6 1 1 1
direct
0.2783 0.9984 0.7053 O
0.7217 0.7069 0.7053 O
0.7217 0.2947 0.0016 O
0.2783 0.2947 0.2931 O
0.7217 0.9984 0.2931 O
0.2783 0.7069 0.0016 O
0.0000 0.3333 0.6667 Pm
0.5000 0.0000 0.0000 Mo
0.5000 0.6667 0.3333 Ho

10.
PBE with a Hubbard U Rb3HoMo2O8, optimized geometry; D(E_F) = 6.31 states/eV per cell
1.0
6.2047 0.0000 0.0000
-3.1024 5.3735 0.0000
0.0000 0.0000 8.0363
O Rb Ho Mo
8 3 1 2
direct
0.8292 0.6584 0.6656 O
0.1708 0.3416 0.3344 O
0.6667 0.3333 0.9807 O
0.3416 0.1708 0.6656 O
0.1708 0.8292 0.3344 O
0.6584 0.8292 0.3344 O
0.3333 0.6667 0.0193 O
0.8292 0.1708 0.6656 O
0.3333 0.6667 0.6800 Rb
0.6667 0.3333 0.3200 Rb
0.0000 0.0000 0.0000 Rb
0.0000 0.0000 0.5000 Ho
0.6667 0.3333 0.7568 Mo
0.3333 0.6667 0.2432 Mo

11.
PBE with a Hubbard U RbHoMo2O8, optimized geometry; D(E_F) = 0.00 states/eV per cell
1.0
7.5300 0.0253 -0.0055
0.2466 7.5260 -0.0055
3.6607 3.5547 5.8669
O Mo Rb Ho
16 4 2 2
direct
0.6306 0.4124 0.5355 O
0.6111 0.7660 0.5657 O
0.0495 0.2135 0.7997 O
0.7660 0.6111 0.0657 O
0.2340 0.3889 0.9343 O
0.9340 0.6232 0.6209 O
0.7865 0.9505 0.7003 O
0.3694 0.5876 0.4645 O
0.3768 0.0660 0.8791 O
0.5876 0.3694 0.9645 O
0.6232 0.9340 0.1209 O
0.9505 0.7865 0.2003 O
0.3889 0.2340 0.4343 O
0.0660 0.3768 0.3791 O
0.4124 0.6306 0.0355 O
0.2135 0.0495 0.2997 O
0.6955 0.6936 0.2647 Mo
0.6936 0.6955 0.7647 Mo
0.3045 0.3064 0.7353 Mo
0.3064 0.3045 0.2353 Mo
0.1945 0.8055 0.7500 Rb
0.8055 0.1945 0.2500 Rb
0.2282 0.7718 0.2500 Ho
0.7718 0.2282 0.7500 Ho

12.
PBE with a Hubbard U Rb4Ho3MoO8, optimized geometry; D(E_F) = 0.00 states/eV per cell
1.0
-5.7491 1.0099 -3.6946
-3.9797 -4.0936 5.0738
3.5351 5.4123 2.4369
O Rb Ho Mo
8 4 3 1
direct
0.7250 0.6751 0.4500 O
0.7302 0.6741 0.9521 O
0.2750 0.3249 0.5500 O
0.2220 0.6742 0.4439 O
0.7781 0.3259 0.0479 O
0.2698 0.3259 0.0479 O
0.7780 0.3258 0.5561 O
0.2219 0.6741 0.9521 O
0.0000 0.0000 0.5000 Rb
0.5000 0.0000 0.0000 Rb
0.0000 0.0000 0.0000 Rb
0.5000 0.0000 0.5000 Rb
0.5000 0.5000 0.0000 Ho
0.0000 0.5000 0.5000 Ho
0.5000 0.5000 0.5000 Ho
0.0000 0.5000 0.0000 Mo

13.
Density functional theory data (PBE with a Hubbard U) for an optimized crystal structure of RbHoMoO5.

Structure (POSCAR):
```
RbHoMoO5
1.0
-2.8067 -5.8274 -0.4387
4.7195 -0.6404 4.3982
-5.5840 4.7225 3.6242
Rb O Ho Mo
2 10 2 2
direct
0.6787 0.3213 0.7500 Rb
0.3213 0.6787 0.2500 Rb
0.8709 0.2955 0.1186 O
0.9384 0.0616 0.7500 O
0.1291 0.7045 0.8814 O
0.7045 0.1291 0.3814 O
0.2304 0.3972 0.6027 O
0.7696 0.6028 0.3973 O
0.0616 0.9384 0.2500 O
0.6028 0.7696 0.8973 O
0.3972 0.2304 0.1027 O
0.2955 0.8709 0.6186 O
0.0000 0.0000 0.5000 Ho
0.0000 0.0000 0.0000 Ho
0.3135 0.6865 0.7500 Mo
0.6865 0.3135 0.2500 Mo
```

14.
PBE with a Hubbard U HoSbMo2O9, optimized geometry; D(E_F) = 0.00 states/eV per cell
1.0
-9.2100 -0.5222 -2.9531
3.5827 -5.2561 -7.3045
1.4587 -4.8621 9.5782
O Mo Ho Sb
36 8 4 4
direct
0.3059 0.9780 0.0009 O
0.7783 0.5932 0.9205 O
0.4445 0.9053 0.2484 O
0.4068 0.2217 0.5795 O
0.0696 0.0967 0.8968 O
0.6221 0.1438 0.2267 O
0.4227 0.5419 0.3997 O
0.5773 0.4581 0.6003 O
0.8562 0.3779 0.2733 O
0.2085 0.3643 0.7966 O
0.9033 0.9304 0.6032 O
0.9304 0.9033 0.1032 O
0.3643 0.2085 0.2966 O
0.2217 0.4068 0.0795 O
0.0220 0.6941 0.4991 O
0.2975 0.8695 0.4297 O
0.9591 0.7816 0.8285 O
0.9780 0.3059 0.5009 O
0.2184 0.0409 0.6715 O
0.6941 0.0220 0.9991 O
0.1305 0.7025 0.0703 O
0.5932 0.7783 0.4205 O
0.8695 0.2975 0.9297 O
0.6357 0.7915 0.7034 O
0.1438 0.6221 0.7267 O
0.0967 0.0696 0.3968 O
0.4581 0.5773 0.1003 O
0.5555 0.0947 0.7516 O
0.7816 0.9591 0.3285 O
0.0409 0.2184 0.1715 O
0.3779 0.8562 0.7733 O
0.7025 0.1305 0.5703 O
0.7915 0.6357 0.2034 O
0.9053 0.4445 0.7484 O
0.0947 0.5555 0.2516 O
0.5419 0.4227 0.8997 O
0.7407 0.9539 0.4757 Mo
0.0461 0.2593 0.0243 Mo
0.4345 0.0569 0.1925 Mo
0.0569 0.4345 0.6925 Mo
0.9431 0.5655 0.3075 Mo
0.2593 0.0461 0.5243 Mo
0.5655 0.9431 0.8075 Mo
0.9539 0.7407 0.9757 Mo
0.8744 0.1256 0.2500 Ho
0.1256 0.8744 0.7500 Ho
0.3288 0.6712 0.2500 Ho
0.6712 0.3288 0.7500 Ho
0.3800 0.3489 0.9641 Sb
0.6200 0.6511 0.0359 Sb
0.6511 0.6200 0.5359 Sb
0.3489 0.3800 0.4641 Sb

15.
PBE with a Hubbard U HoScMoO6, optimized geometry; D(E_F) = 0.00 states/eV per cell
1.0
4.5540 0.0000 0.0000
0.0000 5.3914 0.0000
0.0000 -2.6957 4.6691
Ho O Sc Mo
1 6 1 1
direct
0.5000 0.6667 0.3333 Ho
0.7383 0.0171 0.3103 O
0.2616 0.0171 0.7068 O
0.2616 0.2932 0.3103 O
0.2616 0.6897 0.9829 O
0.7383 0.6897 0.7068 O
0.7383 0.2932 0.9829 O
0.0000 0.3333 0.6667 Sc
0.5000 0.0000 0.0000 Mo

16.
PBE with a Hubbard U SrHoMo2O8, optimized geometry; D(E_F) = 0.50 states/eV per cell
1.0
-2.4638 -3.1739 4.8652
5.4968 -2.1293 -2.2508
1.1175 5.8415 2.1077
Mo Sr O Ho
2 1 8 1
direct
0.7500 0.2500 0.5000 Mo
0.5000 0.5000 0.0000 Mo
0.0000 0.0000 0.0000 Sr
0.9442 0.2666 0.3224 O
0.7334 0.0558 0.6776 O
0.3782 0.0558 0.3224 O
0.8516 0.6614 0.1901 O
0.3386 0.1484 0.8099 O
0.9442 0.6218 0.6776 O
0.4713 0.6614 0.8099 O
0.3386 0.5287 0.1901 O
0.2500 0.7500 0.5000 Ho

Number 1: M_tot 0.00 μB/f.u., calculated total energy -71.12 eV/f.u.. Number 2: M_tot 0.00 μB/f.u., calculated total energy -70.40 eV/f.u.. Number 3: M_tot 2.00 μB/f.u., calculated total energy -77.58 eV/f.u.. Number 4: M_tot 0.00 μB/f.u., calculated total energy -62.27 eV/f.u.. Number 5: M_tot 1.00 μB/f.u., calculated total energy -68.25 eV/f.u.. Number 6: M_tot 0.00 μB/f.u., calculated total energy -86.14 eV/f.u.. Number 7: M_tot 1.03 μB/f.u., calculated total energy -91.98 eV/f.u.. Number 8: M_tot 0.90 μB/f.u., calculated total energy -92.61 eV/f.u.. Number 9: M_tot 0.00 μB/f.u., calculated total energy -70.20 eV/f.u.. Number 10: M_tot 2.00 μB/f.u., calculated total energy -89.37 eV/f.u.. Number 11: M_tot 0.00 μB/f.u., calculated total energy -85.24 eV/f.u.. Number 12: M_tot 3.00 μB/f.u., calculated total energy -102.94 eV/f.u.. Number 13: M_tot 0.00 μB/f.u., calculated total energy -55.70 eV/f.u.. Number 14: M_tot 0.00 μB/f.u., calculated total energy -93.25 eV/f.u.. Number 15: M_tot 0.00 μB/f.u., calculated total energy -71.12 eV/f.u.. Number 16: M_tot 1.00 μB/f.u., calculated total energy -87.38 eV/f.u..